# 1
! Ba8Pt3AuCl4 (PBE-GGA, relaxed); values from VASP
! Formation energy from raw total energies (meV/atom): -1354
&SYSTEM
  ibrav = 0, nat = 16, ntyp = 4
/
ATOMIC_SPECIES
Ba 137.33 Ba.upf
Pt 195.08 Pt.upf
Au 196.97 Au.upf
Cl 35.45 Cl.upf
CELL_PARAMETERS angstrom
4.549 2.626 8.097
-4.549 2.626 8.097
0.000 -5.253 8.097
ATOMIC_POSITIONS angstrom
Ba -2.332 -1.347 13.967
Ba 0.000 0.000 5.842
Ba 0.000 -2.693 10.322
Ba -2.332 1.347 10.322
Ba 2.332 -1.347 13.967
Ba 0.000 2.693 13.967
Ba 0.000 0.000 18.448
Ba 2.332 1.347 10.322
Pt -4.549 0.000 12.145
Pt -2.274 1.313 4.048
Pt 2.274 1.313 4.048
Au 0.000 0.000 12.145
Cl 0.000 0.000 0.000
Cl -2.274 -1.313 8.097
Cl -2.274 1.313 16.193
Cl 0.000 2.626 8.097



# 2
! Nd5DyMg (PBE-GGA, relaxed); values from VASP
! Energy of formation from the pure elements (meV/atom): 103
&SYSTEM
  ibrav = 0, nat = 14, ntyp = 3
/
ATOMIC_SPECIES
Nd 144.24 Nd.upf
Dy 162.50 Dy.upf
Mg 24.30 Mg.upf
CELL_PARAMETERS angstrom
4.373 -4.841 0.000
4.373 4.841 0.000
-4.362 0.000 11.169
ATOMIC_POSITIONS angstrom
Nd -1.875 1.811 9.430
Nd 1.101 3.511 8.377
Nd 1.347 1.529 5.174
Nd 0.306 -1.811 3.845
Nd 5.217 1.529 0.411
Nd -0.834 -1.529 10.758
Nd 4.078 1.811 7.324
Nd 3.036 -1.529 5.995
Nd 3.282 -3.511 2.792
Nd 6.259 -1.811 1.740
Dy 1.101 0.062 8.377
Dy 3.282 -0.062 2.792
Mg 0.000 0.000 0.000
Mg -2.181 0.000 5.585



# 3
! Na2DyPuO4 (PBE-GGA, relaxed); values from VASP
! Formation energy from raw total energies (meV/atom): -2575
&SYSTEM
  ibrav = 0, nat = 8, ntyp = 4
/
ATOMIC_SPECIES
Na 22.99 Na.upf
Dy 162.50 Dy.upf
Pu 244.00 Pu.upf
O 16.00 O.upf
CELL_PARAMETERS angstrom
5.953 0.000 0.000
0.000 3.478 0.000
-2.040 0.000 5.665
ATOMIC_POSITIONS angstrom
Na 0.000 0.000 0.000
Na -1.020 1.739 2.832
Dy 1.957 0.000 2.832
Pu 2.977 1.739 0.000
O 0.160 0.000 4.295
O 1.161 1.739 1.518
O 3.753 0.000 1.370
O 2.753 1.739 4.147



# 4
! Rb3Tl6In5 (PBE-GGA, relaxed); values from VASP
! Energy of formation from the pure elements (meV/atom): -61
&SYSTEM
  ibrav = 0, nat = 28, ntyp = 3
/
ATOMIC_SPECIES
Rb 85.47 Rb.upf
Tl 204.38 Tl.upf
In 114.82 In.upf
CELL_PARAMETERS angstrom
5.304 0.000 0.000
0.000 15.556 0.000
0.000 0.000 11.580
ATOMIC_POSITIONS angstrom
Rb 1.326 0.770 2.892
Rb 1.326 7.008 2.892
Rb 1.326 11.667 2.890
Rb 3.978 3.889 8.690
Rb 3.978 8.548 8.688
Rb 3.978 14.786 8.688
Tl 1.326 1.254 7.060
Tl 1.326 3.889 0.789
Tl 1.326 3.889 4.985
Tl 1.326 6.523 7.060
Tl 1.326 9.315 11.273
Tl 1.326 14.018 11.273
Tl 3.978 1.537 0.307
Tl 3.978 6.241 0.307
Tl 3.978 9.032 4.520
Tl 3.978 11.667 6.595
Tl 3.978 11.667 10.791
Tl 3.978 14.301 4.520
In 1.326 1.467 10.253
In 1.326 6.310 10.253
In 1.326 9.570 6.152
In 1.326 11.667 8.743
In 1.326 13.764 6.152
In 3.978 1.792 5.428
In 3.978 3.889 2.838
In 3.978 5.986 5.428
In 3.978 9.245 1.327
In 3.978 14.088 1.327



| no. | M_tot (μB per cell) | N(E_F) (states/eV/f.u.) |
| --- | --- | --- |
| 1 | 0.00 | 9.837 |
| 2 | 0.00 | 8.661 |
| 3 | 5.00 | 5.121 |
| 4 | 0.00 | 6.849 |